VASP calculation (GGA-PBE) on an optimized crystal structure of KBeSnRh2.

Its volume is 124.7 Å³ per cell. For the uncorrected energy, the calculation gives -2.51 eV per atom. The calculation puts the total magnetization at 0.00 μB per formula unit.

The space group is P4/mmm (No. 123) and the conventional cell measures 4.763, 4.763 and 5.497 Å, with angles of 90.00, 90.00 and 90.00 degrees. The asymmetric unit holds K at (0.000, 0.000, 0.000), Be at (0.500, 0.500, 0.500), Sn at (0.000, 0.000, 0.500) and Rh at (0.000, 0.500, 0.000).